# LiAcInPt3, optimized geometry, DFT PBE
# - calculated formation energy (eV per formula unit) = -3.70
# - total magnetization (μB/f.u.) = 0.000
# - electronic total energy (eV per atom) = -5.10
# - crystal system = orthorhombic
data_LiAcInPt3
_cell_length_a 5.9072
_cell_length_b 12.1385
_cell_length_c 7.1475
_cell_angle_alpha 90.00
_cell_angle_beta 90.00
_cell_angle_gamma 90.00
_space_group_name_H-M_alt 'C m c m'
_space_group_IT_number 63
_space_group_name_Hall '-C 2c 2'
loop_
_atom_site_label
_atom_site_fract_x
_atom_site_fract_y
_atom_site_fract_z
Li1 0.0000 0.0684 0.2500
Ac1 0.0000 0.3241 0.2500
In1 0.0000 0.3726 0.7500
Pt1 0.0000 0.1517 0.7500
Pt2 0.2493 0.0000 0.0000

# RbZnIn2Br5, optimized geometry, DFT PBE
# - total magnetization (μB/f.u.) = 0.000
# - electronic total energy (eV per atom) = -2.77
# - formation energy from raw total energies (eV per atom) = -0.988
# - crystal system = tetragonal
data_RbZnIn2Br5
_cell_length_a 8.8873
_cell_length_b 8.8873
_cell_length_c 15.4540
_cell_angle_alpha 90.00
_cell_angle_beta 90.00
_cell_angle_gamma 90.00
_space_group_name_H-M_alt 'I 4/m c m'
_space_group_IT_number 140
_space_group_name_Hall '-I 4 2c'
loop_
_atom_site_label
_atom_site_fract_x
_atom_site_fract_y
_atom_site_fract_z
Rb1 0.0000 0.0000 0.2500
Zn1 0.0000 0.5000 0.2500
In1 0.1620 0.3380 0.0000
Br1 0.0000 0.0000 0.0000
Br2 0.1517 0.3483 0.3484

# LiCdAu5, optimized geometry, DFT PBE
# - calculated formation energy (eV per formula unit) = -1.44
# - total magnetization (μB/f.u.) = 0.000
# - electronic total energy (eV per atom) = -2.95
# - distance to the lowest polymorph of the same formula (meV/atom) = 0
# - crystal system = orthorhombic
data_LiCdAu5
_cell_length_a 5.6158
_cell_length_b 8.4937
_cell_length_c 5.7367
_cell_angle_alpha 90.00
_cell_angle_beta 90.00
_cell_angle_gamma 90.00
_space_group_name_H-M_alt 'C m m m'
_space_group_IT_number 65
_space_group_name_Hall '-C 2 2'
loop_
_atom_site_label
_atom_site_fract_x
_atom_site_fract_y
_atom_site_fract_z
Li1 0.0000 0.0000 0.0000
Cd1 0.0000 0.5000 0.5000
Au1 0.0000 0.5000 0.0000
Au2 0.2500 0.2500 0.2511

Copy entry 1 word for word.
# LiAcInPt3, optimized geometry, DFT PBE
# - calculated formation energy (eV per formula unit) = -3.70
# - total magnetization (μB/f.u.) = 0.000
# - electronic total energy (eV per atom) = -5.10
# - crystal system = orthorhombic
data_LiAcInPt3
_cell_length_a 5.9072
_cell_length_b 12.1385
_cell_length_c 7.1475
_cell_angle_alpha 90.00
_cell_angle_beta 90.00
_cell_angle_gamma 90.00
_space_group_name_H-M_alt 'C m c m'
_space_group_IT_number 63
_space_group_name_Hall '-C 2c 2'
loop_
_atom_site_label
_atom_site_fract_x
_atom_site_fract_y
_atom_site_fract_z
Li1 0.0000 0.0684 0.2500
Ac1 0.0000 0.3241 0.2500
In1 0.0000 0.3726 0.7500
Pt1 0.0000 0.1517 0.7500
Pt2 0.2493 0.0000 0.0000